Here is La2YHfO after structural relaxation from Alexandria. Energies are from PBE.

Values from the calculation:
Its distance to the lowest polymorph of the same formula is 0 meV/atom. The calculation puts the raw formation energy at -1.072 eV per atom. Its total magnetization is 0.00 μB/cell. The density is 7.44 g/cm3.

abc: 5.4151 5.4151 4.2735
angles: 90.00 90.00 90.00
With the nearest neighbours (Å) after each atom.
Space group P4/mmm (No. 123)
Symmetry-distinct sites (fractional):
1 La 0.0000 0.5000 0.0000 x2  2 O 2.71
2 Y 0.0000 0.0000 0.5000 x1  8 La 3.45, 4 Hf 3.83
3 Hf 0.5000 0.5000 0.5000 x1  2 O 2.14
4 O 0.5000 0.5000 0.0000 x1  2 Hf 2.14

Here is La2YHfO after structural relaxation from Alexandria. Energies are from PBE.

Values from the calculation:
Its distance to the lowest polymorph of the same formula is 22 meV/atom. The calculation puts the raw formation energy at -1.050 eV per atom. Its total magnetization is 0.00 μB/cell. The density is 7.47 g/cm3.

abc: 5.1733 5.1733 4.6614
angles: 90.00 90.00 90.00
With the nearest neighbours (Å) after each atom.
Space group P4/mmm (No. 123)
Symmetry-distinct sites (fractional):
1 La 0.0000 0.5000 0.0000 x2  2 O 2.59
2 Y 0.0000 0.0000 0.5000 x1  2 O 2.33
3 Hf 0.5000 0.5000 0.5000 x1  8 La 3.48, 4 Y 3.66
4 O 0.0000 0.0000 0.0000 x1  2 Y 2.33, 4 La 2.59

Here is LaYHf2O after structural relaxation from Alexandria. Energies are from PBE.

Values from the calculation:
The calculation puts the raw formation energy at -0.825 eV per atom. Its total magnetization is 0.00 μB/cell. The density is 9.26 g/cm3.

abc: 4.5687 4.5687 5.1619
angles: 90.00 90.00 90.00
With the nearest neighbours (Å) after each atom.
Space group P4/mmm (No. 123)
Symmetry-distinct sites (fractional):
1 La 0.0000 0.0000 0.0000 x1  4 Y 3.23, 8 Hf 3.45
2 Y 0.5000 0.5000 0.0000 x1  2 O 2.58
3 Hf 0.0000 0.5000 0.5000 x2  2 O 2.28
4 O 0.5000 0.5000 0.5000 x1  4 Hf 2.28

Here is LaHfZr2O after structural relaxation from Alexandria. Energies are from PBE.

Values from the calculation:
The calculation puts the raw formation energy at 0.017 eV per atom. Its total magnetization is 0.00 μB/cell. The density is 6.36 g/cm3.

abc: 5.8808 5.8808 3.8958
angles: 90.00 90.00 90.00
With the nearest neighbours (Å) after each atom.
Space group P4/mmm (No. 123)
Symmetry-distinct sites (fractional):
1 La 0.0000 0.0000 0.0000 x1  8 Zr 3.53, 2 La 3.90
2 Hf 0.5000 0.5000 0.5000 x1  2 O 1.95
3 Zr 0.0000 0.5000 0.5000 x2  2 Hf 2.94
4 O 0.5000 0.5000 0.0000 x1  2 Hf 1.95

Here is LaHf3Os after structural relaxation from Alexandria. Energies are from PBE.

Values from the calculation:
Its distance to the lowest polymorph of the same formula is 1991 meV/atom. The calculation puts the energy of formation at 2.120 eV/atom. Its total magnetization is 0.00 μB/cell. The density is 11.66 g/cm3.

abc: 4.9747 4.9747 4.9747
angles: 90.00 90.00 90.00
With the nearest neighbours (Å) after each atom.
Space group Pm-3m (No. 221)
Symmetry-distinct sites (fractional):
1 La 0.0000 0.0000 0.0000 x1  6 Hf 2.49
2 Hf 0.0000 0.0000 0.5000 x3  2 La 2.49
3 Os 0.5000 0.5000 0.5000 x1  12 Hf 3.52

Here is LaHf3Os after structural relaxation from Alexandria. Energies are from PBE.

Values from the calculation:
Its distance to the lowest polymorph of the same formula is 0 meV/atom. The calculation puts the energy of formation at 0.129 eV/atom. Its total magnetization is 0.00 μB/cell. The density is 10.78 g/cm3.

abc: 5.1062 5.1062 5.1062
angles: 90.00 90.00 90.00
With the nearest neighbours (Å) after each atom.
Space group Pm-3m (No. 221)
Symmetry-distinct sites (fractional):
1 La 0.0000 0.0000 0.0000 x1  12 Hf 3.61
2 Hf 0.0000 0.5000 0.5000 x3  2 Os 2.55
3 Os 0.5000 0.5000 0.5000 x1  6 Hf 2.55

Here is La2HfOs after structural relaxation from Alexandria. Energies are from PBE.

Values from the calculation:
Its distance to the lowest polymorph of the same formula is 0 meV/atom. The calculation puts the energy of formation at 0.347 eV/atom. Its total magnetization is 0.00 μB/cell. The density is 7.99 g/cm3.

abc: 10.2367 10.2367 5.1302
angles: 90.00 90.00 90.00
With the nearest neighbours (Å) after each atom.
Space group I-42d (No. 122)
Symmetry-distinct sites (fractional):
1 La 0.1090 0.7500 0.1250 x8  2 Os 2.86
2 Hf 0.0000 0.0000 0.5000 x4  2 Os 2.57
3 Os 0.0000 0.0000 0.0000 x4  2 Hf 2.57, 4 La 2.86

Here is La3HfOs after structural relaxation from Alexandria. Energies are from PBE.

Values from the calculation:
Its distance to the lowest polymorph of the same formula is 0 meV/atom. The calculation puts the energy of formation at 0.403 eV/atom. Its total magnetization is 2.15 μB/cell. The density is 7.57 g/cm3.

abc: 5.5651 5.5651 5.5651
angles: 90.00 90.00 90.00
With the nearest neighbours (Å) after each atom.
Space group Pm-3m (No. 221)
Symmetry-distinct sites (fractional):
1 La 0.0000 0.0000 0.5000 x3  2 Os 2.78
2 Hf 0.5000 0.5000 0.5000 x1  12 La 3.94
3 Os 0.0000 0.0000 0.0000 x1  6 La 2.78

Here is La3HfOs after structural relaxation from Alexandria. Energies are from PBE.

Values from the calculation:
Its distance to the lowest polymorph of the same formula is 1040 meV/atom. The calculation puts the energy of formation at 1.443 eV/atom. Its total magnetization is 0.00 μB/cell. The density is 7.93 g/cm3.

abc: 5.4782 5.4782 5.4782
angles: 90.00 90.00 90.00
With the nearest neighbours (Å) after each atom.
Space group Pm-3m (No. 221)
Symmetry-distinct sites (fractional):
1 La 0.0000 0.0000 0.5000 x3  2 Hf 2.74
2 Hf 0.0000 0.0000 0.0000 x1  6 La 2.74
3 Os 0.5000 0.5000 0.5000 x1  12 La 3.87

Here is LaHfOs4 after structural relaxation from Alexandria. Energies are from PBE.

Values from the calculation:
The calculation puts the energy of formation at -0.079 eV/atom. Its total magnetization is 0.00 μB/cell. The density is 16.46 g/cm3.

abc: 7.5783 7.5783 7.5783
angles: 90.00 90.00 90.00
With the nearest neighbours (Å) after each atom.
Space group F-43m (No. 216)
Symmetry-distinct sites (fractional):
1 La 0.0000 0.0000 0.0000 x4  12 Os 3.14, 4 Hf 3.28
2 Hf 0.2500 0.2500 0.7500 x4  12 Os 3.14, 4 La 3.28
3 Os 0.1244 0.1244 0.3756 x16  6 Os 2.67-2.69

Here is La2HfOs2 after structural relaxation from Alexandria. Energies are from PBE.

Values from the calculation:
The calculation puts the energy of formation at -0.049 eV/atom. Its total magnetization is 0.00 μB/cell. The density is 11.51 g/cm3.

abc: 7.1188 7.1188 4.7655
angles: 90.00 90.00 90.00
With the nearest neighbours (Å) after each atom.
Space group P4/mbm (No. 127)
Symmetry-distinct sites (fractional):
1 La 0.1794 0.3206 0.0000 x4  6 Os 3.11-3.24
2 Hf 0.0000 0.0000 0.5000 x2  4 Os 2.82
3 Os 0.1228 0.6228 0.5000 x4  1 Os 2.47

Here is La2HfOs after structural relaxation from Alexandria. Energies are from PBE.

Values from the calculation:
Its distance to the lowest polymorph of the same formula is 94 meV/atom. The calculation puts the energy of formation at 0.440 eV/atom. Its total magnetization is 0.00 μB/cell. The density is 10.83 g/cm3.

abc: 7.3464 7.3464 7.3464
angles: 90.00 90.00 90.00
With the nearest neighbours (Å) after each atom.
Space group Fm-3m (No. 225)
Symmetry-distinct sites (fractional):
1 La 0.2500 0.2500 0.2500 x8  4 Hf 3.18, 4 Os 3.18
2 Hf 0.0000 0.0000 0.0000 x4  8 La 3.18
3 Os 0.0000 0.0000 0.5000 x4  8 La 3.18